No. 1
This record from the Alexandria database describes LiTl2Ir after structural relaxation. The functional is PBE.

Structure (CIF):
```
data_LiTl2Ir
_chemical_formula_sum 'Li3 Tl6 Ir3'
_cell_length_a 3.2569
_cell_length_b 3.2569
_cell_length_c 26.5545
_cell_angle_alpha 90.00
_cell_angle_beta 90.00
_cell_angle_gamma 120.00
_space_group_name_H-M_alt 'R -3 m'
_space_group_IT_number 166
_space_group_name_Hall '-R 3 2"'
loop_
_atom_site_label
_atom_site_fract_x
_atom_site_fract_y
_atom_site_fract_z
Li1 0.0000 0.0000 0.0000
Tl1 0.0000 0.0000 0.2481
Ir1 0.0000 0.0000 0.5000
```

Properties
* ΔE_f: 0.89 eV per formula unit



No. 2
This record from the Alexandria database describes InSn2Se after structural relaxation. The functional is PBE.

Structure (CIF):
```
data_InSn2Se
_chemical_formula_sum 'In4 Sn8 Se4'
_cell_length_a 7.435
_cell_length_b 7.435
_cell_length_c 7.435
_cell_angle_alpha 90.00
_cell_angle_beta 90.00
_cell_angle_gamma 90.00
_space_group_name_H-M_alt 'F m -3 m'
_space_group_IT_number 225
_space_group_name_Hall '-F 4 2 3'
loop_
_atom_site_label
_atom_site_fract_x
_atom_site_fract_y
_atom_site_fract_z
In1 0.000 0.000 0.000
Sn1 0.250 0.250 0.250
Se1 0.000 0.000 0.500
```

Properties
* ΔE_f (raw): 0.04 eV per atom



No. 3
This record from the Alexandria database describes Ba5Ca4Mg2 after structural relaxation. The functional is PBE.

Structure (CIF):
```
data_Ba5Ca4Mg2
_chemical_formula_sum 'Ba10 Ca8 Mg4'
_cell_length_a 10.705
_cell_length_b 23.146
_cell_length_c 4.292
_cell_angle_alpha 90.00
_cell_angle_beta 90.00
_cell_angle_gamma 90.00
_space_group_name_H-M_alt 'P b a m'
_space_group_IT_number 55
loop_
_space_group_symop_operation_xyz
'x,y,z'
'-x,-y,-z'
'-x,-y,z'
'x,y,-z'
'x+1/2,-y+1/2,-z'
'-x+1/2,y+1/2,z'
'-x+1/2,y+1/2,-z'
'x+1/2,-y+1/2,z'
loop_
_atom_site_label
_atom_site_fract_x
_atom_site_fract_y
_atom_site_fract_z
Ba1 0.000 0.000 0.000
Ba2 0.130 0.423 0.000
Ba3 0.223 0.228 0.000
Ca1 0.070 0.848 0.500
Ca2 0.211 0.577 0.500
Mg1 0.003 0.306 0.500
```

Properties
* ΔE_f: 0.22 eV per formula unit